# YZrV2 | Alexandria | PBE-GGA | optimized geometry
data_YZrV2
_cell_length_a 4.9060
_cell_length_b 4.9060
_cell_length_c 4.9060
_cell_angle_alpha 60.00
_cell_angle_beta 60.00
_cell_angle_gamma 60.00
_space_group_name_H-M_alt 'P 1'
_space_group_IT_number 1
_space_group_name_Hall 'P 1'
loop_
_atom_site_label
_atom_site_fract_x
_atom_site_fract_y
_atom_site_fract_z
Y1 0.0000 0.0000 0.0000
Zr1 0.5000 0.5000 0.5000
V1 0.2500 0.2500 0.2500
V2 0.7500 0.7500 0.7500
# **Distance to the lowest polymorph of the same formula**: 0.00 kJ per mole of atoms
# **Calculated formation energy**: 369 meV per atom
# **Energy**: -7.94 eV per atom